# 1
A plane-wave DFT calculation with PBE was carried out for an optimized crystal structure of YCoTcPb.

Lattice parameters (Å, degrees): 4.7942 4.7942 4.7942 60.00 60.00 60.00
Closest atoms and distances in Å follow each position.
Positions (direct):
Y: 0.0000 0.0000 0.0000  4 Pb 2.94, 4 Tc 2.94
Co: 0.5000 0.5000 0.5000  4 Pb 2.94, 4 Tc 2.94
Tc: 0.7500 0.7500 0.7500  4 Co 2.94, 4 Y 2.94
Pb: 0.2500 0.2500 0.2500  4 Co 2.94, 4 Y 2.94

Calculated values
E: -6.427 eV per atom

***

# 2
A plane-wave DFT calculation with PBE was carried out for an optimized crystal structure of TlCoPb2.

Lattice parameters (Å, degrees): 5.1993 5.1993 5.1993 60.00 60.00 60.00
Closest atoms and distances in Å follow each position.
Positions (direct):
Tl: 0.0000 0.0000 0.0000  4 Pb 3.18, 4 Co 3.18
Co: 0.2500 0.2500 0.2500  4 Tl 3.18, 4 Pb 3.18
Pb: 0.5000 0.5000 0.5000  4 Pb 3.18, 4 Co 3.18
Pb: 0.7500 0.7500 0.7500  4 Pb 3.18, 4 Tl 3.18

Calculated values
E: -3.618 eV per atom

***

# 3
A plane-wave DFT calculation with PBE was carried out for an optimized crystal structure of TlCo3Pb5.

Lattice parameters (Å, degrees): 5.4245 5.4245 8.3650 90.00 90.00 120.00
Closest atoms and distances in Å follow each position.
Positions (direct):
Tl: 0.0000 0.0000 0.0000  12 Pb 3.67
Co: 0.0000 0.5000 0.5000  4 Co 2.71, 6 Pb 2.71-2.75
Co: 0.5000 0.0000 0.5000  4 Co 2.71, 6 Pb 2.71-2.75
Co: 0.5000 0.5000 0.5000  4 Co 2.71, 6 Pb 2.71-2.75
Pb: 0.0000 0.0000 0.5000  6 Co 2.71
Pb: 0.3333 0.6667 0.2297  3 Co 2.75
Pb: 0.3333 0.6667 0.7703  3 Co 2.75
Pb: 0.6667 0.3333 0.2297  3 Co 2.75
Pb: 0.6667 0.3333 0.7703  3 Co 2.75

Calculated values
E: -4.438 eV per atom

***

# 4
A plane-wave DFT calculation with PBE was carried out for an optimized crystal structure of Tl2CoPb.

Lattice parameters (Å, degrees): 5.1793 5.1793 5.1793 60.00 60.00 60.00
Closest atoms and distances in Å follow each position.
Positions (direct):
Tl: 0.0000 0.0000 0.0000  4 Co 3.17, 4 Tl 3.17
Tl: 0.2500 0.2500 0.2500  4 Tl 3.17, 4 Pb 3.17
Co: 0.7500 0.7500 0.7500  4 Tl 3.17, 4 Pb 3.17
Pb: 0.5000 0.5000 0.5000  4 Tl 3.17, 4 Co 3.17

Calculated values
E: -3.279 eV per atom

***

| no. | magnetic moment (μB per cell) |
| --- | --- |
| 1 | 3.861 |
| 2 | 1.748 |
| 3 | 3.025 |
| 4 | 1.348 |